Record 1
KSnB after structural relaxation, computed with GGA-PBE.

Cell: 5.687 5.687 8.154 Å, 90.00 90.00 120.00°
Fractional positions:
1 K 0.333 0.667 0.250
2 K 0.667 0.333 0.750
3 Sn 0.000 0.000 0.000
4 Sn 0.000 0.000 0.500
5 B 0.000 0.000 0.250
6 B 0.000 0.000 0.750

Output
The space group is P6_3/mmc, No. 194. The calculation puts the energy of formation from the pure elements at 2.18 eV per formula unit. The value obtained for the total DFT energy (no corrections) is -19.19 eV per cell.

***

Record 2
Ac2CdPd6Au after structural relaxation, computed with GGA-PBE.

Cell: 7.087 7.087 7.087 Å, 60.00 60.00 60.00°
Fractional positions:
1 Ac 0.250 0.250 0.250
2 Ac 0.750 0.750 0.750
3 Cd 0.000 0.000 0.000
4 Pd 0.248 0.248 0.752
5 Pd 0.248 0.752 0.248
6 Pd 0.248 0.752 0.752
7 Pd 0.752 0.248 0.248
8 Pd 0.752 0.248 0.752
9 Pd 0.752 0.752 0.248
10 Au 0.500 0.500 0.500

Output
The space group is Fm-3m, No. 225. The calculation puts the energy of formation from the pure elements at -0.85 eV per formula unit. The value obtained for the total DFT energy (no corrections) is -44.41 eV per cell.

***

Record 3
Al4Pd after structural relaxation, computed with GGA-PBE.

Cell: 8.838 8.838 8.799 Å, 119.65 119.65 86.95°
Fractional positions:
1 Al 0.000 0.481 0.148
2 Al 0.000 0.500 0.500
3 Al 0.000 0.519 0.852
4 Al 0.066 0.874 0.385
5 Al 0.125 0.875 0.750
6 Al 0.126 0.934 0.115
7 Al 0.230 0.323 0.644
8 Al 0.298 0.674 0.564
9 Al 0.323 0.230 0.144
10 Al 0.326 0.702 0.936
11 Al 0.384 0.468 0.053
12 Al 0.468 0.384 0.553
13 Al 0.481 0.000 0.648
14 Al 0.500 0.000 0.000
15 Al 0.519 0.000 0.352
16 Al 0.532 0.616 0.447
17 Al 0.616 0.532 0.947
18 Al 0.674 0.298 0.064
19 Al 0.677 0.770 0.856
20 Al 0.702 0.326 0.436
21 Al 0.770 0.677 0.356
22 Al 0.874 0.066 0.885
23 Al 0.875 0.125 0.250
24 Al 0.934 0.126 0.615
25 Pd 0.130 0.278 0.290
26 Pd 0.270 0.730 0.250
27 Pd 0.278 0.130 0.790
28 Pd 0.722 0.870 0.210
29 Pd 0.730 0.270 0.750
30 Pd 0.870 0.722 0.710

Output
The space group is C2/c, No. 15. The calculation puts the energy of formation from the pure elements at -1.59 eV per formula unit. The value obtained for the energy above the most stable polymorph in this dataset is 0.000 eV/atom. The value obtained for the total DFT energy (no corrections) is -130.54 eV per cell.

***

Record 4
Sr2CdTe after structural relaxation, computed with GGA-PBE.

Cell: 5.826 5.826 5.826 Å, 60.00 60.00 60.00°
Fractional positions:
1 Sr 0.000 0.000 0.000
2 Sr 0.250 0.250 0.250
3 Cd 0.500 0.500 0.500
4 Te 0.750 0.750 0.750

Output
The space group is F-43m, No. 216. For the uncorrected formation energy, the calculation gives -0.342 eV per atom. The value obtained for the energy above the most stable polymorph in this dataset is 0.551 eV/atom. The value obtained for the total DFT energy (no corrections) is -8.79 eV per cell.